{
  "formula": "Ca2SnAu8",
  "functional": "PBE",
  "state": "relaxed",
  "total_magnetization_mub_per_fu": 0.0,
  "final_energy_ev_per_atom": -3.530,
  "formation_enthalpy_0k_ev_per_atom": -0.4189,
  "space_group": "No. 2",
  "mass_density_g_cm3": 12.6,
  "cell": [[1.587, -0.880, -4.733], [1.441, -5.395, 1.477], [-10.075, 1.378, 3.374]],
  "species": ["Au", "Au", "Au", "Au", "Sn", "Au", "Au", "Au", "Ca", "Au", "Ca"],
  "fractional_positions": [[0.997, 0.259, 0.000], [0.529, 0.070, 0.648], [0.469, 0.422, 0.351], [0.025, 0.819, 0.638], [0.500, 0.000, 0.000], [0.003, 0.741, 0.000], [0.531, 0.578, 0.649], [0.471, 0.930, 0.352], [0.178, 0.380, 0.761], [0.975, 0.181, 0.362], [0.822, 0.620, 0.239]]
}